Entry 1:
A geometry-optimized Rb3LaO structure. Source: Alexandria via LeMat-Bulk, functional PBE. Values from VASP.

Quantum ESPRESSO input file:
```
&SYSTEM
  ibrav = 0, nat = 5, ntyp = 3
/
ATOMIC_SPECIES
Rb 85.47 Rb.upf
La 138.91 La.upf
O 16.00 O.upf
CELL_PARAMETERS angstrom
7.446 0.000 0.000
0.000 7.446 0.000
0.000 0.000 7.446
ATOMIC_POSITIONS crystal
Rb 0.000 0.000 0.500
Rb 0.000 0.500 0.000
Rb 0.500 0.000 0.000
La 0.000 0.000 0.000
O 0.500 0.500 0.500
```

total magnetization: 4.4 μB per formula unit
raw formation energy: 5.36 eV/f.u.
electronic total energy: -7.43 eV per cell
DOS(E_F): 5.83 states/eV per atom

Entry 2:
A geometry-optimized NdSm2Th3 structure. Source: Alexandria via LeMat-Bulk, functional PBE. Values from VASP.

Quantum ESPRESSO input file:
```
&SYSTEM
  ibrav = 0, nat = 12, ntyp = 3
/
ATOMIC_SPECIES
Nd 144.24 Nd.upf
Sm 150.36 Sm.upf
Th 232.04 Th.upf
CELL_PARAMETERS angstrom
7.638 -2.539 0.000
7.638 2.539 0.000
-5.088 0.000 10.267
ATOMIC_POSITIONS crystal
Nd 0.128 0.128 0.134
Nd 0.872 0.872 0.866
Sm 0.205 0.205 0.865
Sm 0.461 0.461 0.135
Sm 0.539 0.539 0.865
Sm 0.795 0.795 0.135
Th 0.043 0.043 0.381
Th 0.290 0.290 0.619
Th 0.377 0.377 0.381
Th 0.623 0.623 0.619
Th 0.710 0.710 0.381
Th 0.957 0.957 0.619
```

ΔE_f: 0.03 eV/atom
total magnetization: 0.0 μB per formula unit
electronic total energy: -72.60 eV per cell
DOS(E_F): 1.58 states/eV per atom

Entry 3:
A geometry-optimized KY2Zn structure. Source: Alexandria via LeMat-Bulk, functional PBE. Values from VASP.

Quantum ESPRESSO input file:
```
&SYSTEM
  ibrav = 0, nat = 4, ntyp = 3
/
ATOMIC_SPECIES
K 39.10 K.upf
Y 88.91 Y.upf
Zn 65.41 Zn.upf
CELL_PARAMETERS angstrom
3.427 -6.098 0.000
3.427 6.098 0.000
-1.561 0.000 3.048
ATOMIC_POSITIONS crystal
K 0.000 0.000 0.000
Y 0.000 0.500 0.500
Y 0.500 0.000 0.500
Zn 0.500 0.500 0.000
```

ΔE_f: 0.41 eV/atom
total magnetization: 0.0 μB per formula unit
electronic total energy: -13.68 eV per cell
DOS(E_F): 1.29 states/eV per atom

Entry 4:
A geometry-optimized AgPdN2O structure. Source: Alexandria via LeMat-Bulk, functional PBE. Values from VASP.

Quantum ESPRESSO input file:
```
&SYSTEM
  ibrav = 0, nat = 5, ntyp = 4
/
ATOMIC_SPECIES
Ag 107.87 Ag.upf
Pd 106.42 Pd.upf
N 14.01 N.upf
O 16.00 O.upf
CELL_PARAMETERS angstrom
3.925 0.000 0.000
0.000 3.925 0.000
0.000 0.000 5.626
ATOMIC_POSITIONS crystal
Ag 0.000 0.000 0.000
Pd 0.000 0.000 0.500
N 0.000 0.500 0.000
N 0.500 0.000 0.000
O 0.500 0.500 0.500
```

total magnetization: 5.4 μB per formula unit
raw formation energy: 11.26 eV/f.u.
electronic total energy: -18.39 eV per cell
DOS(E_F): 0.74 states/eV per atom

Entry 5:
A geometry-optimized Ce3Bi3Pb2 structure. Source: Alexandria via LeMat-Bulk, functional PBE. Values from VASP.

Quantum ESPRESSO input file:
```
&SYSTEM
  ibrav = 0, nat = 16, ntyp = 3
/
ATOMIC_SPECIES
Ce 140.12 Ce.upf
Bi 208.98 Bi.upf
Pb 207.20 Pb.upf
CELL_PARAMETERS angstrom
9.483 0.000 0.000
-4.742 8.213 0.000
0.000 0.000 6.464
ATOMIC_POSITIONS crystal
Ce 0.000 0.378 0.250
Ce 0.000 0.622 0.750
Ce 0.378 0.000 0.250
Ce 0.378 0.378 0.750
Ce 0.622 0.000 0.750
Ce 0.622 0.622 0.250
Bi 0.000 0.268 0.750
Bi 0.000 0.732 0.250
Bi 0.268 0.000 0.750
Bi 0.268 0.268 0.250
Bi 0.732 0.000 0.250
Bi 0.732 0.732 0.750
Pb 0.333 0.667 0.000
Pb 0.333 0.667 0.500
Pb 0.667 0.333 0.000
Pb 0.667 0.333 0.500
```

ΔE_f: -0.46 eV/atom
total magnetization: 1.4 μB per formula unit
electronic total energy: -81.06 eV per cell
DOS(E_F): 1.76 states/eV per atom

Entry 6:
A geometry-optimized La2Np2Ni15 structure. Source: Alexandria via LeMat-Bulk, functional PBE. Values from VASP.

Quantum ESPRESSO input file:
```
&SYSTEM
  ibrav = 0, nat = 19, ntyp = 3
/
ATOMIC_SPECIES
La 138.91 La.upf
Np 237.00 Np.upf
Ni 58.69 Ni.upf
CELL_PARAMETERS angstrom
4.268 2.464 4.229
-4.268 2.464 4.229
0.000 -4.928 4.229
ATOMIC_POSITIONS crystal
La 0.147 0.147 0.147
La 0.853 0.853 0.853
Np 0.410 0.410 0.410
Np 0.590 0.590 0.590
Ni 0.000 0.500 0.500
Ni 0.160 0.160 0.656
Ni 0.160 0.656 0.160
Ni 0.190 0.500 0.810
Ni 0.190 0.810 0.500
Ni 0.344 0.840 0.840
Ni 0.500 0.000 0.500
Ni 0.500 0.190 0.810
Ni 0.500 0.500 0.000
Ni 0.500 0.810 0.190
Ni 0.656 0.160 0.160
Ni 0.810 0.190 0.500
Ni 0.810 0.500 0.190
Ni 0.840 0.344 0.840
Ni 0.840 0.840 0.344
```

ΔE_f: -0.19 eV/atom
total magnetization: 0.0 μB per formula unit
electronic total energy: -126.07 eV per cell
DOS(E_F): 1.41 states/eV per atom

Entry 7:
A geometry-optimized KGaS2N structure. Source: Alexandria via LeMat-Bulk, functional PBE. Values from VASP.

Quantum ESPRESSO input file:
```
&SYSTEM
  ibrav = 0, nat = 5, ntyp = 4
/
ATOMIC_SPECIES
K 39.10 K.upf
Ga 69.72 Ga.upf
S 32.06 S.upf
N 14.01 N.upf
CELL_PARAMETERS angstrom
5.777 0.000 0.000
0.000 5.777 0.000
0.000 0.000 5.144
ATOMIC_POSITIONS crystal
K 0.000 0.000 0.000
Ga 0.500 0.500 0.500
S 0.000 0.500 0.000
S 0.500 0.000 0.000
N 0.000 0.000 0.500
```

total magnetization: 5.0 μB per formula unit
raw formation energy: 7.14 eV/f.u.
electronic total energy: -13.57 eV per cell
DOS(E_F): 0.85 states/eV per atom

Entry 8:
A geometry-optimized Cr2HgIr structure. Source: Alexandria via LeMat-Bulk, functional PBE. Values from VASP.

Quantum ESPRESSO input file:
```
&SYSTEM
  ibrav = 0, nat = 4, ntyp = 3
/
ATOMIC_SPECIES
Cr 52.00 Cr.upf
Hg 200.59 Hg.upf
Ir 192.22 Ir.upf
CELL_PARAMETERS angstrom
-2.080 2.080 3.662
2.080 -2.080 3.662
2.080 2.080 -3.662
ATOMIC_POSITIONS crystal
Cr 0.250 0.750 0.500
Cr 0.750 0.250 0.500
Hg 0.000 0.000 0.000
Ir 0.500 0.500 0.000
```

ΔE_f: 0.43 eV/atom
total magnetization: 6.6 μB per formula unit
electronic total energy: -26.68 eV per cell
DOS(E_F): 0.73 states/eV per atom

total magnetization of number 8 (Cr2HgIr)?
6.6 μB per formula unit